Record 1
Ce3AgC | PBE | relaxed

Cell: 6.403 5.310 8.060 Å, 97.62 71.03 65.67°
Fractional positions:
Ce 0.634 0.810 0.772
Ce 0.002 0.246 0.767
Ce 0.935 0.820 0.430
Ce 0.433 0.480 0.625
Ce 0.366 0.054 0.287
Ce 0.735 0.490 0.282
Ag 0.958 0.833 0.019
Ag 0.410 0.467 0.036
C 0.914 0.319 0.497
C 0.454 0.981 0.557

**Raw total energy**: -6.029 eV/atom
**Magnetization**: 0.2470 μB per atom
**Fermi-level density of states**: 21.5 states/eV per cell



Record 2
Mg2ReCl2 | PBE | relaxed

Cell: 8.087 8.087 2.986 Å, 90.00 90.00 90.00°
Fractional positions:
Mg 0.189 0.311 0.000
Mg 0.311 0.811 0.000
Mg 0.689 0.189 0.000
Mg 0.811 0.689 0.000
Re 0.000 0.000 0.000
Re 0.500 0.500 0.000
Cl 0.372 0.128 0.500
Cl 0.128 0.628 0.500
Cl 0.872 0.372 0.500
Cl 0.628 0.872 0.500

**Raw total energy**: -3.526 eV/atom
**Magnetization**: 0.2414 μB per atom
**Fermi-level density of states**: 3.4 states/eV per cell
**Raw formation energy**: 0.341 eV per atom



Record 3
Cr3Ni4 | PBE | relaxed

Cell: 4.529 4.529 4.500 Å, 90.00 90.00 120.00°
Fractional positions:
Ni 0.000 0.000 0.744
Ni 0.000 0.000 0.256
Ni 0.333 0.667 0.500
Ni 0.667 0.333 0.500
Cr 0.000 0.500 0.000
Cr 0.500 0.000 0.000
Cr 0.500 0.500 0.000

**Raw total energy**: -7.323 eV/atom
**Magnetization**: 0.0000 μB per atom
**Fermi-level density of states**: 5.9 states/eV per cell